No. 1
Computed, not measured: a relaxed structure of BaYSn2Cl8 at the GGA-PBE level of DFT.

Cell lengths 6.284, 9.069, 6.975 Å; angles 90.00, 94.22, 90.00 degrees
Space group P2/m (No. 10)
One atom of each set of equivalent atoms:
Ba  0.000  0.000  0.000 x1
Y  0.000  0.500  0.000 x1
Sn  0.500  0.250  0.500 x2
Cl  0.138  0.282  0.783 x4
Cl  0.354  0.500  0.238 x2
Cl  0.430  0.000  0.253 x2

Results
* Fermi-level density of states: 4.11 states/eV per cell
* energy relative to the elements, uncorrected: -1.609 eV per atom


No. 2
Computed, not measured: a relaxed structure of BaZnSn2Cl8 at the GGA-PBE level of DFT.

Cell lengths 6.494, 6.778, 8.751 Å; angles 90.77, 90.23, 91.09 degrees
Space group P-1 (No. 2)
One atom of each set of equivalent atoms:
Ba  0.000  0.000  0.000 x1
Zn  0.000  0.000  0.500 x1
Sn  0.496  0.528  0.270 x2
Cl  0.173  0.160  0.312 x2
Cl  0.246  0.686  0.468 x2
Cl  0.270  0.144  0.729 x2
Cl  0.270  0.637  0.031 x2

Results
* Fermi-level density of states: 0.00 states/eV per cell
* energy relative to the elements, uncorrected: -1.351 eV per atom


No. 3
Computed, not measured: a relaxed structure of BaZn2SnCl8 at the GGA-PBE level of DFT.

Cell lengths 6.4953, 6.4953, 9.6419 Å; angles 90.00, 90.00, 120.00 degrees
Space group P-3 (No. 147)
One atom of each set of equivalent atoms:
Ba  0.0000  0.0000  0.0000 x1
Zn  0.3333  0.6667  0.7681 x2
Sn  0.0000  0.0000  0.5000 x1
Cl  0.0039  0.3179  0.7058 x6
Cl  0.3333  0.6667  0.0028 x2

Results
* Fermi-level density of states: 0.00 states/eV per cell
* energy relative to the elements, uncorrected: -1.402 eV per atom


No. 4
Computed, not measured: a relaxed structure of Ba2SrCl at the GGA-PBE level of DFT.

Cell lengths 4.036, 4.036, 11.364 Å; angles 90.00, 90.00, 90.00 degrees
Space group P4mm (No. 99)
One atom of each set of equivalent atoms:
Ba  0.000  0.000  0.000 x1
Ba  0.500  0.500  0.311 x1
Sr  0.500  0.500  0.704 x1
Cl  0.000  0.000  0.528 x1

Results
* Fermi-level density of states: 3.84 states/eV per cell
* energy relative to the elements, uncorrected: -0.714 eV per atom


No. 5
Computed, not measured: a relaxed structure of Ba4Sr6Cl19 at the GGA-PBE level of DFT.

Cell lengths 12.772, 12.772, 12.772 Å; angles 90.00, 90.00, 90.00 degrees
Space group I23 (No. 197)
One atom of each set of equivalent atoms:
Ba  0.144  0.144  0.856 x8
Sr  0.000  0.339  0.500 x12
Cl  0.000  0.000  0.000 x2
Cl  0.000  0.000  0.324 x12
Cl  0.064  0.321  0.716 x24

Results
* Fermi-level density of states: 6.18 states/eV per cell
* energy relative to the elements, uncorrected: -2.366 eV per atom


No. 6
Computed, not measured: a relaxed structure of BaSr2Cl at the GGA-PBE level of DFT.

Cell lengths 6.757, 6.757, 4.377 Å; angles 90.00, 90.00, 90.00 degrees
Space group P4/mmm (No. 123)
One atom of each set of equivalent atoms:
Ba  0.000  0.000  0.000 x1
Sr  0.000  0.500  0.500 x2
Cl  0.500  0.500  0.000 x1

Results
* Fermi-level density of states: 3.35 states/eV per cell
* energy relative to the elements, uncorrected: -0.392 eV per atom


No. 7
Computed, not measured: a relaxed structure of BaSr2Cl at the GGA-PBE level of DFT.

Cell lengths 14.388, 4.094, 7.308 Å; angles 90.00, 119.85, 90.00 degrees
Space group Cm (No. 8)
One atom of each set of equivalent atoms:
Ba  0.000  0.000  0.000 x2
Sr  0.130  0.500  0.635 x2
Sr  0.319  0.500  0.308 x2
Cl  0.297  0.000  0.611 x2

Results
* Fermi-level density of states: 8.25 states/eV per cell
* energy relative to the elements, uncorrected: -0.759 eV per atom


No. 8
Computed, not measured: a relaxed structure of BaSrCl2 at the GGA-PBE level of DFT.

Cell lengths 5.0799, 5.0799, 24.1330 Å; angles 90.00, 90.00, 120.00 degrees
Space group R-3m (No. 166, hexagonal axes)
One atom of each set of equivalent atoms:
Ba  0.0000  0.0000  0.0000 x3
Sr  0.0000  0.0000  0.5000 x3
Cl  0.0000  0.0000  0.3799 x6

Results
* Fermi-level density of states: 0.10 states/eV per cell
* energy relative to the elements, uncorrected: -1.768 eV per atom


No. 9
Computed, not measured: a relaxed structure of BaSr2Cl at the GGA-PBE level of DFT.

Cell lengths 4.062, 7.392, 12.532 Å; angles 90.00, 90.00, 90.00 degrees
Space group Immm (No. 71)
One atom of each set of equivalent atoms:
Ba  0.000  0.000  0.000 x2
Sr  0.000  0.500  0.192 x4
Cl  0.000  0.000  0.500 x2

Results
* Fermi-level density of states: 7.03 states/eV per cell
* energy relative to the elements, uncorrected: -0.741 eV per atom


No. 10
Computed, not measured: a relaxed structure of BaSrCl2 at the GGA-PBE level of DFT.

Cell lengths 4.108, 4.280, 7.667 Å; angles 90.00, 90.00, 90.00 degrees
Space group Pmmm (No. 47)
One atom of each set of equivalent atoms:
Ba  0.000  0.000  0.000 x1
Sr  0.000  0.500  0.500 x1
Cl  0.500  0.500  0.209 x2

Results
* Fermi-level density of states: 2.28 states/eV per cell
* energy relative to the elements, uncorrected: -1.661 eV per atom


No. 11
Computed, not measured: a relaxed structure of Ba2SrCl at the GGA-PBE level of DFT.

Cell lengths 9.452, 9.452, 9.452 Å; angles 90.00, 90.00, 90.00 degrees
Space group F-43m (No. 216)
One atom of each set of equivalent atoms:
Ba  0.000  0.000  0.000 x4
Ba  0.250  0.250  0.250 x4
Sr  0.000  0.000  0.500 x4
Cl  0.250  0.250  0.750 x4

Results
* Fermi-level density of states: 22.72 states/eV per cell
* energy relative to the elements, uncorrected: -0.226 eV per atom


No. 12
Computed, not measured: a relaxed structure of BaSr3Cl at the GGA-PBE level of DFT.

Cell lengths 7.635, 7.635, 7.635 Å; angles 90.00, 90.00, 90.00 degrees
Space group Pm-3m (No. 221)
One atom of each set of equivalent atoms:
Ba  0.000  0.000  0.000 x1
Sr  0.000  0.000  0.500 x3
Cl  0.500  0.500  0.500 x1

Results
* Fermi-level density of states: 9.61 states/eV per cell
* energy relative to the elements, uncorrected: 0.492 eV per atom


- Fermi-level density of states of number 1 (BaYSn2Cl8)?
  4.11 states/eV per cell